Compound: PaCuF6
Source: the Alexandria database
Functional: GGA-PBE
Structure: optimized geometry

Geometry as POSCAR:
```
PaCuF6
1.0
-2.016 0.290 5.083
-3.360 -0.888 -4.231
1.315 -10.251 1.107
Cu F Pa
2 12 2
direct
0.667 0.333 0.750
0.333 0.667 0.250
0.708 0.043 0.879
0.665 0.957 0.379
0.665 0.708 0.121
0.043 0.708 0.379
0.957 0.665 0.879
0.292 0.335 0.379
0.335 0.043 0.621
0.292 0.957 0.121
0.957 0.292 0.621
0.708 0.665 0.621
0.335 0.292 0.879
0.043 0.335 0.121
0.000 0.000 0.000
0.000 0.000 0.500
```

The electronic total energy comes out at -6.190 eV per atom. As for the calculated volume: 269.9 Å³/cell. For the raw formation energy, the calculation gives -3.087 eV per atom. The space-group type is P-31c, No. 163. The size of the total moment is 0.023 μB/atom.

=====

Compound: CuPbF5
Source: the Alexandria database
Functional: GGA-PBE
Structure: optimized geometry

Geometry as POSCAR:
```
CuPbF5
1.0
-0.874 -5.557 0.760
4.389 -2.177 2.868
-2.053 -1.526 7.573
Cu F Pb
2 10 2
direct
0.000 0.000 0.000
0.000 0.000 0.500
0.305 0.719 0.029
0.750 0.792 0.617
0.250 0.208 0.383
0.792 0.750 0.117
0.208 0.250 0.883
0.926 0.074 0.250
0.719 0.305 0.529
0.695 0.281 0.971
0.281 0.695 0.471
0.074 0.926 0.750
0.551 0.449 0.250
0.449 0.551 0.750
```

The electronic total energy comes out at -4.302 eV per atom. As for the calculated volume: 219.5 Å³/cell. For the raw formation energy, the calculation gives -1.850 eV per atom. The space-group type is C2/c, No. 15. The calculation puts the energy above the most stable polymorph in this dataset at 0.0 meV/atom. The size of the total moment is 0.137 μB/atom.

=====

Compound: CuPb2F8
Source: the Alexandria database
Functional: GGA-PBE
Structure: optimized geometry

Geometry as POSCAR:
```
CuPb2F8
1.0
-1.247 -0.513 3.555
-2.480 -4.370 -1.500
7.827 -1.273 0.528
Pb F Cu
2 8 1
direct
0.168 0.674 0.336
0.832 0.326 0.664
0.954 0.159 0.907
0.223 0.332 0.447
0.416 0.627 0.832
0.584 0.373 0.168
0.320 0.044 0.640
0.680 0.956 0.360
0.046 0.841 0.093
0.777 0.668 0.553
0.500 0.000 0.000
```

The electronic total energy comes out at -4.196 eV per atom. As for the calculated volume: 143.4 Å³/cell. For the raw formation energy, the calculation gives -1.788 eV per atom. The space-group type is C2/m, No. 12. The calculation puts the energy above the most stable polymorph in this dataset at 52.8 meV/atom. The size of the total moment is 0.064 μB/atom.

=====

Compound: CuPbF2
Source: the Alexandria database
Functional: GGA-PBE
Structure: optimized geometry

Geometry as POSCAR:
```
CuPbF2
1.0
-2.672 -0.869 3.438
0.220 2.492 3.669
-3.314 2.783 0.996
Pb F Cu
1 2 1
direct
0.500 0.500 0.500
0.250 0.250 0.250
0.750 0.750 0.750
0.000 0.000 0.000
```

The electronic total energy comes out at -3.917 eV per atom. As for the calculated volume: 61.9 Å³/cell. For the raw formation energy, the calculation gives -1.030 eV per atom. The space-group type is Fm-3m, No. 225. The calculation puts the energy above the most stable polymorph in this dataset at 227.1 meV/atom. The size of the total moment is 0.000 μB/atom.

=====

Compound: CuPbF5
Source: the Alexandria database
Functional: GGA-PBE
Structure: optimized geometry

Geometry as POSCAR:
```
CuPbF5
1.0
-0.195 3.975 0.190
-5.277 1.669 1.496
0.194 1.747 5.457
Pb F Cu
1 5 1
direct
0.500 0.500 0.500
0.000 0.291 0.709
0.000 0.709 0.291
0.500 0.000 0.000
0.228 0.772 0.772
0.772 0.228 0.228
0.000 0.000 0.000
```

The electronic total energy comes out at -4.282 eV per atom. As for the calculated volume: 112.5 Å³/cell. For the raw formation energy, the calculation gives -1.830 eV per atom. The space-group type is Immm, No. 71. The calculation puts the energy above the most stable polymorph in this dataset at 19.6 meV/atom. The size of the total moment is 0.145 μB/atom.

=====

Compound: Cu3PbF8
Source: the Alexandria database
Functional: GGA-PBE
Structure: optimized geometry

Geometry as POSCAR:
```
Cu3PbF8
1.0
5.325 0.000 0.000
-2.663 4.612 0.000
0.000 0.000 6.984
F Pb Cu
8 1 3
direct
0.333 0.667 0.486
0.714 0.007 0.179
0.667 0.333 0.514
0.286 0.993 0.821
0.707 0.714 0.821
0.293 0.286 0.179
0.007 0.293 0.821
0.993 0.707 0.179
0.000 0.000 0.500
0.000 0.000 0.000
0.667 0.333 0.783
0.333 0.667 0.217
```

The electronic total energy comes out at -4.149 eV per atom. As for the calculated volume: 171.5 Å³/cell. For the raw formation energy, the calculation gives -1.568 eV per atom. The space-group type is P-3, No. 147. The calculation puts the energy above the most stable polymorph in this dataset at 0.0 meV/atom. The size of the total moment is 0.250 μB/atom.

=====

Compound: CuPbF3
Source: the Alexandria database
Functional: GGA-PBE
Structure: optimized geometry

Geometry as POSCAR:
```
CuPbF3
1.0
3.985 -0.018 -0.006
0.089 6.557 0.190
0.101 1.834 6.334
F Pb Cu
6 2 2
direct
0.006 0.615 0.438
0.479 0.904 0.730
0.005 0.001 0.052
0.479 0.290 0.344
0.968 0.549 0.993
0.516 0.355 0.789
0.039 0.232 0.671
0.445 0.672 0.112
0.741 0.778 0.565
0.744 0.127 0.217
```

The electronic total energy comes out at -4.489 eV per atom. As for the calculated volume: 164.1 Å³/cell. For the raw formation energy, the calculation gives -1.805 eV per atom. The space-group type is P-1, No. 2. The calculation puts the energy above the most stable polymorph in this dataset at 0.0 meV/atom. The size of the total moment is 0.000 μB/atom.

=====

Compound: Cu3PbF8
Source: the Alexandria database
Functional: GGA-PBE
Structure: optimized geometry

Geometry as POSCAR:
```
Cu3PbF8
1.0
-4.811 -0.219 -1.876
2.390 -4.331 1.495
-2.629 0.844 6.646
F Cu Pb
8 3 1
direct
0.326 0.326 0.847
0.000 0.326 0.153
0.674 0.674 0.153
0.326 0.000 0.153
0.333 0.667 0.500
0.674 0.000 0.847
0.000 0.674 0.847
0.667 0.333 0.500
0.667 0.333 0.000
0.000 0.000 0.000
0.333 0.667 0.000
0.000 0.000 0.500
```

The electronic total energy comes out at -3.988 eV per atom. As for the calculated volume: 166.5 Å³/cell. For the raw formation energy, the calculation gives -1.408 eV per atom. The space-group type is P-31m, No. 162. The calculation puts the energy above the most stable polymorph in this dataset at 160.7 meV/atom. The size of the total moment is 0.252 μB/atom.

=====

size of the total moment of number 6 (Cu3PbF8)? 0.250 μB/atom

=====

electronic total energy of number 6 (Cu3PbF8)? -4.149 eV per atom